[1]
# Cd2RuBr

Cd2RuBr after structural relaxation (GGA-PBE, Alexandria via LeMat-Bulk).

Unit cell a=3.6614 b=3.6760 c=6.5506 alpha=90.00 beta=90.00 gamma=90.00
Sites, in units of the cell vectors:
1 Ru 0.0000 0.0000 0.4341
2 Br 0.5000 0.5000 0.7560
3 Cd 0.0000 0.0000 0.0190
4 Cd 0.5000 0.5000 0.2909

Computed properties:
Space group: Pmm2 (25)
Relative energy among the computed polymorphs (meV per atom): 260.6



[2]
# Sc2InPd

Sc2InPd after structural relaxation (GGA-PBE, Alexandria via LeMat-Bulk).

Unit cell a=9.9144 b=9.9144 c=9.9144 alpha=19.85 beta=19.85 gamma=19.85
Sites, in units of the cell vectors:
1 Sc 0.8962 0.8962 0.8962
2 Sc 0.1038 0.1038 0.1038
3 Pd 0.5000 0.5000 0.5000
4 In 0.0000 0.0000 0.0000

Computed properties:
Formation energy from the elements (eV per atom): -0.17
Space group: R-3m (166)



[3]
# Ac8Pd3Rh2

Ac8Pd3Rh2 after structural relaxation (GGA-PBE, Alexandria via LeMat-Bulk).

Unit cell a=7.4076 b=8.8239 c=8.8239 alpha=59.97 beta=72.97 gamma=72.97
Sites, in units of the cell vectors:
1 Ac 0.7722 0.6271 0.6271
2 Ac 0.2278 0.3729 0.3729
3 Ac 0.7587 0.1236 0.1236
4 Ac 0.2413 0.8764 0.8764
5 Ac 0.7641 0.6268 0.1108
6 Ac 0.7641 0.1108 0.6268
7 Ac 0.2359 0.8892 0.3732
8 Ac 0.2359 0.3732 0.8892
9 Pd 0.5000 0.0000 0.0000
10 Pd 0.0000 0.2518 0.7482
11 Pd 0.0000 0.7482 0.2518
12 Rh 0.9914 0.2524 0.2524
13 Rh 0.0086 0.7476 0.7476

Computed properties:
Formation energy from the elements (eV per atom): -0.61
Space group: C2/m (12)



[4]
# KYMg

KYMg after structural relaxation (GGA-PBE, Alexandria via LeMat-Bulk).

Unit cell a=5.9717 b=5.9717 c=3.3366 alpha=90.00 beta=90.00 gamma=120.00
Sites, in units of the cell vectors:
1 K 0.0000 0.0000 0.0325
2 Mg 0.6667 0.3333 0.2719
3 Y 0.3333 0.6667 0.6956

Computed properties:
Formation energy from the elements (eV per atom): 0.42
Space group: P3m1 (156)



Number 1: spin magnetization 0.26 μB/atom. Number 2: spin magnetization 0.00 μB/atom. Number 3: spin magnetization 0.00 μB/atom. Number 4: spin magnetization 0.00 μB/atom.